(1)
{"formula": "CrTe2SeI", "functional": "PBE-GGA", "state": "optimized geometry", "volume_a3_per_cell": 166.9, "relative_energy_ev_per_atom": 0.737, "formation_energy_uncorrected_ev_per_atom": 1.264, "lattice_angstrom": [[5.4800, 0.0000, 0.0000], [0.0000, 5.4800, 0.0000], [0.0000, 0.0000, 5.5566]], "species": ["Cr", "Te", "Te", "Se", "I"], "fractional_positions": [[0.0000, 0.0000, 0.0000], [0.0000, 0.5000, 0.5000], [0.5000, 0.0000, 0.5000], [0.5000, 0.5000, 0.5000], [0.5000, 0.5000, 0.0000]]}



(2)
{"formula": "Th2CrSe2I4", "functional": "PBE-GGA", "state": "optimized geometry", "volume_a3_per_cell": 303.4, "formation_energy_uncorrected_ev_per_atom": -0.738, "lattice_angstrom": [[3.8664, 0.0000, 0.0000], [-1.9332, 3.3484, 0.0000], [0.0000, 0.0000, 23.4388]], "species": ["Th", "Th", "Cr", "Se", "Se", "I", "I", "I", "I"], "fractional_positions": [[0.0000, 0.0000, 0.0000], [0.3333, 0.6667, 0.3772], [0.3333, 0.6667, 0.6979], [0.0000, 0.0000, 0.6383], [0.0000, 0.0000, 0.7579], [0.0000, 0.0000, 0.2783], [0.0000, 0.0000, 0.4755], [0.3333, 0.6667, 0.0990], [0.3333, 0.6667, 0.9018]]}



(3)
{"formula": "CrSiI2", "functional": "PBE-GGA", "state": "optimized geometry", "volume_a3_per_cell": 340.7, "relative_energy_ev_per_atom": 0.522, "formation_energy_uncorrected_ev_per_atom": 1.125, "lattice_angstrom": [[6.9841, 0.0000, 0.0000], [0.0000, 6.9841, 0.0000], [0.0000, 0.0000, 6.9841]], "species": ["Cr", "Cr", "Cr", "Cr", "Si", "Si", "Si", "Si", "I", "I", "I", "I", "I", "I", "I", "I"], "fractional_positions": [[0.0000, 0.0000, 0.0000], [0.0000, 0.5000, 0.5000], [0.5000, 0.0000, 0.5000], [0.5000, 0.5000, 0.0000], [0.0000, 0.0000, 0.5000], [0.0000, 0.5000, 0.0000], [0.5000, 0.0000, 0.0000], [0.5000, 0.5000, 0.5000], [0.2500, 0.2500, 0.2500], [0.2500, 0.2500, 0.7500], [0.2500, 0.7500, 0.2500], [0.2500, 0.7500, 0.7500], [0.7500, 0.2500, 0.2500], [0.7500, 0.2500, 0.7500], [0.7500, 0.7500, 0.2500], [0.7500, 0.7500, 0.7500]]}



(4)
{"formula": "CrSi2I2", "functional": "PBE-GGA", "state": "optimized geometry", "volume_a3_per_cell": 276.2, "relative_energy_ev_per_atom": 0.000, "formation_energy_uncorrected_ev_per_atom": 0.591, "lattice_angstrom": [[7.1346, 0.0000, 0.0000], [0.0000, 7.1346, 0.0000], [0.0000, 0.0000, 5.4257]], "species": ["Cr", "Cr", "Si", "Si", "Si", "Si", "I", "I", "I", "I"], "fractional_positions": [[0.0000, 0.0000, 0.0000], [0.5000, 0.5000, 0.0000], [0.2479, 0.2521, 0.0000], [0.2521, 0.7521, 0.0000], [0.7479, 0.2479, 0.0000], [0.7521, 0.7479, 0.0000], [0.1878, 0.3122, 0.5000], [0.3122, 0.8122, 0.5000], [0.6878, 0.1878, 0.5000], [0.8122, 0.6878, 0.5000]]}